[1]
LiAs3 PBE-GGA relaxed; space group = Pm-3m, No. 221; formation enthalpy at 0 K = -6.3 meV per atom; excess energy over the best structure of this formula in the dataset = 95 meV per atom
1.0
4.196 0.000 0.000
0.000 4.196 0.000
0.000 0.000 4.196
As Li
3 1
Cartesian
0.000 2.098 2.098 As
2.098 2.098 0.000 As
2.098 0.000 2.098 As
0.000 0.000 0.000 Li

=====

[2]
LiAs2 PBE-GGA relaxed; space group = Pa-3, No. 205; formation enthalpy at 0 K = 137.7 meV per atom
1.0
6.459 0.000 0.000
0.000 6.459 0.000
0.000 0.000 6.459
As Li
8 4
Cartesian
0.656 3.886 0.656 As
5.802 0.656 2.573 As
2.573 2.573 3.886 As
2.573 0.656 0.656 As
0.656 5.802 3.886 As
3.886 5.802 5.802 As
5.802 2.573 5.802 As
3.886 3.886 2.573 As
3.229 3.229 0.000 Li
3.229 0.000 3.229 Li
0.000 0.000 0.000 Li
0.000 3.229 3.229 Li

=====

[3]
Li5As3 PBE-GGA relaxed; space group = P-1, No. 2; formation enthalpy at 0 K = -558.5 meV per atom; excess energy over the best structure of this formula in the dataset = 0 meV per atom
1.0
-6.413 5.515 -0.838
3.832 -5.529 -4.309
-4.467 -3.038 3.767
Li As
10 6
Cartesian
-2.696 -0.279 -1.855 Li
-4.346 -2.778 0.477 Li
0.018 -1.934 -1.512 Li
-7.060 -1.123 0.134 Li
-5.049 -1.994 -1.886 Li
-8.116 0.818 2.545 Li
1.074 -3.874 -3.924 Li
-1.994 -1.062 0.508 Li
-0.694 -5.071 -1.592 Li
-6.348 2.014 0.214 Li
-4.989 -2.268 2.923 As
-2.405 -4.532 0.516 As
-2.053 -0.789 -4.302 As
-4.638 1.475 -1.894 As
-4.614 -0.104 0.045 As
-2.429 -2.953 -1.423 As

=====

[4]
LiAs PBE-GGA relaxed; space group = P2_1/m, No. 11; formation enthalpy at 0 K = -401.9 meV per atom
1.0
-0.164 -3.086 -4.016
2.238 -1.597 1.136
-2.956 -2.626 2.139
As Li
2 2
Cartesian
1.932 -1.423 1.015 As
-0.315 -4.883 0.569 As
0.083 -2.732 -1.101 Li
-0.704 -1.978 1.549 Li

=====

[5]
LiAs PBE-GGA relaxed; space group = Cm, No. 8; formation enthalpy at 0 K = -326.1 meV per atom
1.0
3.746 -0.714 -4.385
5.354 0.407 -2.222
1.348 -6.242 2.232
Li As
3 3
Cartesian
1.367 -6.199 2.196 Li
3.576 -6.127 0.516 Li
9.295 -3.889 -4.896 Li
6.104 -2.118 -3.441 As
3.961 -1.760 -2.033 As
6.647 -4.707 -2.503 As

=====

[6]
Li5As3 PBE-GGA relaxed; space group = Cmmm, No. 65; formation enthalpy at 0 K = -506.4 meV per atom; excess energy over the best structure of this formula in the dataset = 52 meV per atom
1.0
5.606 -0.011 0.000
0.018 5.606 0.000
0.000 0.000 3.985
As Li
3 5
Cartesian
1.283 4.334 1.993 As
2.812 2.797 0.000 As
4.340 1.261 1.993 As
0.009 2.803 0.000 Li
4.094 4.073 1.993 Li
2.803 -0.005 0.000 Li
0.000 0.000 0.000 Li
1.529 1.522 1.993 Li

=====

[7]
LiAs2 PBE-GGA relaxed; space group = Cmcm, No. 63; formation enthalpy at 0 K = -187.8 meV per atom
1.0
-3.939 3.262 1.302
-0.761 -4.474 -2.692
-0.646 -2.535 4.396
Li As
2 4
Cartesian
-3.677 -1.541 0.059 Li
-1.670 -2.207 2.946 Li
-3.361 -4.385 1.441 As
-1.985 0.638 1.564 As
-4.655 -1.235 3.068 As
-0.691 -2.512 -0.062 As

=====

[8]
LiAs2 PBE-GGA relaxed; space group = C2/m, No. 12; formation enthalpy at 0 K = -246.8 meV per atom
1.0
-0.327 -4.121 -4.367
3.181 -4.488 -2.429
-2.064 -4.366 2.909
As Li
4 2
Cartesian
0.349 -4.402 -1.465 As
-0.466 -6.424 -0.373 As
-0.415 -2.825 0.217 As
0.298 -8.002 -2.055 As
0.099 -10.724 -2.211 Li
2.637 -8.711 -6.424 Li

=====

[9]
LiAs2 PBE-GGA relaxed; space group = Pnma, No. 62; formation enthalpy at 0 K = -264.5 meV per atom
1.0
-1.697 -0.538 3.145
-6.976 -0.725 -3.887
1.322 -8.624 -0.762
As Li
8 4
Cartesian
-2.404 -8.079 0.435 As
-4.946 -1.808 -1.940 As
-1.161 -3.388 -0.168 As
-6.190 -6.499 -1.337 As
-7.258 -2.096 -1.160 As
-3.919 -5.948 -2.093 As
-0.093 -7.791 -0.345 As
-3.432 -3.939 0.589 As
-4.660 -8.565 -0.865 Li
-2.690 -1.322 -0.640 Li
-5.805 -4.122 -2.799 Li
-1.546 -5.765 1.294 Li

=====

[10]
Li5As3 PBE-GGA relaxed; space group = P6_3/mcm, No. 193; formation enthalpy at 0 K = -488.6 meV per atom; excess energy over the best structure of this formula in the dataset = 70 meV per atom
1.0
7.776 0.000 0.000
-3.888 6.735 0.000
0.000 0.000 5.132
Li As
10 6
Cartesian
-2.871 4.973 3.849 Li
5.743 0.000 3.849 Li
3.888 2.245 2.566 Li
0.000 4.490 2.566 Li
3.888 2.245 0.000 Li
2.034 0.000 1.283 Li
2.871 4.973 1.283 Li
1.017 1.761 3.849 Li
-1.017 1.761 1.283 Li
0.000 4.490 0.000 Li
3.142 0.000 3.849 As
4.634 0.000 1.283 As
-1.571 2.721 3.849 As
2.317 4.013 3.849 As
1.571 2.721 1.283 As
-2.317 4.013 1.283 As

=====

[11]
Li4As PBE-GGA relaxed; space group = I4/m, No. 87; formation enthalpy at 0 K = -455.8 meV per atom; excess energy over the best structure of this formula in the dataset = 0 meV per atom
1.0
-3.043 3.043 2.100
3.043 -3.043 2.100
3.043 3.043 -2.100
Li As
4 1
Cartesian
1.742 0.716 2.100 Li
1.302 2.328 0.000 Li
-0.716 1.742 2.100 Li
3.759 1.302 0.000 Li
0.000 0.000 0.000 As

=====

[12]
LiLuAs2 PBE-GGA relaxed; space group = R-3m, No. 166; formation enthalpy at 0 K = -711.8 meV per atom
1.0
-2.664 0.446 -3.452
-4.343 0.113 0.583
-2.147 5.006 -0.479
Lu As Li
1 2 1
Cartesian
-4.577 2.783 -1.674 Lu
-6.861 4.279 -2.501 As
-2.292 1.286 -0.848 As
0.000 0.000 0.000 Li